[1]
PBE AgAu3, relaxed; space group = No. 223; calculated formation energy = 80 meV per atom; DOS(E_F) = 0.396 states/eV/atom
1.0
5.303 0.000 0.000
0.000 5.303 0.000
0.000 0.000 5.303
Ag Au
2 6
Direct
0.000 0.000 0.000
0.500 0.500 0.500
0.000 0.250 0.500
0.000 0.750 0.500
0.250 0.500 0.000
0.500 0.000 0.250
0.500 0.000 0.750
0.750 0.500 0.000

---

[2]
PBE Dy3UIr8, relaxed; space group = No. 160; calculated formation energy = -729 meV per atom; DOS(E_F) = 0.930 states/eV/atom
1.0
2.678 1.546 8.734
-2.678 1.546 8.734
0.000 -3.093 8.734
Dy U Ir
3 1 8
Direct
0.000 0.000 0.000
0.125 0.125 0.125
0.627 0.627 0.627
0.501 0.501 0.501
0.064 0.064 0.560
0.064 0.560 0.064
0.066 0.563 0.563
0.313 0.313 0.313
0.560 0.064 0.064
0.563 0.066 0.563
0.563 0.563 0.066
0.813 0.813 0.813

---

[3]
PBE K2TiFeRe, relaxed; space group = No. 123; calculated formation energy = 1832 meV per atom; DOS(E_F) = 0.879 states/eV/atom
1.0
6.409 0.000 0.000
0.000 6.409 0.000
0.000 0.000 4.551
K Ti Fe Re
2 1 1 1
Direct
0.000 0.500 0.000
0.500 0.000 0.000
0.000 0.000 0.500
0.500 0.500 0.500
0.000 0.000 0.000

---

[4]
PBE Cr4TeAu, relaxed; space group = No. 216; DOS(E_F) = 0.913 states/eV/atom; ΔE_f (raw) = 0.536 eV/atom
1.0
0.000 3.514 3.514
3.514 0.000 3.514
3.514 3.514 0.000
Cr Te Au
4 1 1
Direct
0.121 0.121 0.121
0.121 0.121 0.638
0.121 0.638 0.121
0.638 0.121 0.121
0.500 0.500 0.500
0.750 0.750 0.750

---

[5]
PBE SmSc2Ti, relaxed; space group = No. 123; calculated formation energy = 176 meV per atom; DOS(E_F) = 1.656 states/eV/atom
1.0
4.568 0.000 0.000
0.000 4.568 0.000
0.000 0.000 4.656
Sm Sc Ti
1 2 1
Direct
0.000 0.000 0.000
0.000 0.500 0.500
0.500 0.000 0.500
0.500 0.500 0.000

---

[6]
PBE Rb3Ce3CuS8, relaxed; space group = No. 12; DOS(E_F) = 0.834 states/eV/atom; ΔE_f (raw) = -1.428 eV/atom
1.0
7.274 -3.969 0.000
7.274 3.969 0.000
-4.956 0.000 7.682
Rb Ce Cu S
3 3 1 8
Direct
0.000 0.000 0.000
0.000 0.500 0.000
0.500 0.000 0.000
0.000 0.500 0.500
0.500 0.000 0.500
0.500 0.500 0.500
0.000 0.000 0.500
0.197 0.757 0.662
0.243 0.803 0.338
0.270 0.270 0.303
0.281 0.281 0.722
0.719 0.719 0.278
0.730 0.730 0.697
0.757 0.197 0.662
0.803 0.243 0.338

---

[7]
PBE HfGeRh, relaxed; space group = No. 107; calculated formation energy = -503 meV per atom; DOS(E_F) = 0.665 states/eV/atom
1.0
-1.746 1.746 4.251
1.746 -1.746 4.251
1.746 1.746 -4.251
Hf Ge Rh
1 1 1
Direct
0.000 0.000 0.000
0.675 0.675 0.000
0.351 0.351 0.000

---

[8]
PBE TbCe4Th3P8, relaxed; space group = No. 166; calculated formation energy = -1545 meV per atom; DOS(E_F) = 1.263 states/eV/atom
1.0
4.107 2.371 6.708
-4.107 2.371 6.708
0.000 -4.742 6.708
Tb Ce Th P
1 4 3 8
Direct
0.000 0.000 0.000
0.000 0.000 0.500
0.000 0.500 0.000
0.500 0.000 0.000
0.500 0.500 0.500
0.000 0.500 0.500
0.500 0.000 0.500
0.500 0.500 0.000
0.247 0.751 0.751
0.249 0.249 0.249
0.249 0.249 0.753
0.249 0.753 0.249
0.751 0.247 0.751
0.751 0.751 0.247
0.751 0.751 0.751
0.753 0.249 0.249